(1)
Density functional theory data (GGA-PBE) for an optimized crystal structure of Sr2IF.

Cell lengths 6.9808, 6.9808, 12.5974 Å; angles 90.00, 90.00, 90.00 degrees
With the nearest neighbours (Å) after each atom.
Fractional positions:
Sr1 0.1582 0.2500 0.1250  2 F 2.60
Sr2 0.2500 0.6582 0.3750  2 F 2.60
Sr3 0.2500 0.8418 0.8750  2 F 2.60
Sr4 0.3418 0.2500 0.6250  2 F 2.60
Sr5 0.6582 0.7500 0.6250  2 F 2.60
Sr6 0.7500 0.1582 0.8750  2 F 2.60
Sr7 0.7500 0.3418 0.3750  2 F 2.60
Sr8 0.8418 0.7500 0.1250  2 F 2.60
I1 0.0000 0.0000 0.5000  4 Sr 3.35
I2 0.0000 0.5000 0.7500  4 Sr 3.35
I3 0.5000 0.0000 0.2500  4 Sr 3.35
I4 0.5000 0.5000 0.0000  4 Sr 3.35
F1 0.0000 0.0000 0.0000  4 Sr 2.60
F2 0.0000 0.5000 0.2500  4 Sr 2.60
F3 0.5000 0.0000 0.7500  4 Sr 2.60
F4 0.5000 0.5000 0.5000  4 Sr 2.60

Energy relative to the lowest polymorph listed for this composition in meV per atom: 0.0
DOS(E_F) in states/eV per cell: 8.31
Magnetization in μB/cell: 4.07


(2)
Density functional theory data (GGA-PBE) for an optimized crystal structure of SrIF.

Cell lengths 4.2867, 4.2867, 5.0814 Å; angles 90.00, 90.00, 120.00 degrees
With the nearest neighbours (Å) after each atom.
Fractional positions:
Sr1 0.0000 0.0000 0.0000  3 F 2.47
I1 0.6667 0.3333 0.5000  6 Sr 3.55, 6 F 3.55
F1 0.3333 0.6667 0.0000  3 Sr 2.47

Energy relative to the lowest polymorph listed for this composition in meV per atom: 71.8
DOS(E_F) in states/eV per cell: 0.00
Magnetization in μB/cell: 0.00


(3)
Density functional theory data (GGA-PBE) for an optimized crystal structure of SrTlIF4.

Cell lengths 8.4176, 8.4176, 7.6155 Å; angles 104.58, 104.58, 40.38 degrees
With the nearest neighbours (Å) after each atom.
Fractional positions:
Sr1 0.1939 0.1939 0.3237  6 F 2.35-2.53
Sr2 0.8061 0.8061 0.6763  6 F 2.35-2.53
Tl1 0.0995 0.0995 0.7115  4 F 2.19-2.27
Tl2 0.9005 0.9005 0.2885  4 F 2.19-2.27
I1 0.4533 0.4533 0.2030  2 Tl 3.14, 4 F 3.38-3.43
I2 0.5467 0.5467 0.7970  2 Tl 3.14, 4 F 3.38-3.43
F1 0.0325 0.5825 0.3930  1 Tl 2.27, 2 Sr 2.36-2.53
F2 0.0494 0.0494 0.3766  2 Tl 2.27-2.46, 1 Sr 2.42
F3 0.1624 0.1624 0.0047  1 Tl 2.19, 1 Sr 2.35
F4 0.4175 0.9675 0.6070  1 Tl 2.27, 2 Sr 2.36-2.53
F5 0.5825 0.0325 0.3930  1 Tl 2.27, 2 Sr 2.36-2.53
F6 0.8376 0.8376 0.9953  1 Tl 2.19, 1 Sr 2.35
F7 0.9506 0.9506 0.6234  2 Tl 2.27-2.46, 1 Sr 2.42
F8 0.9675 0.4175 0.6070  1 Tl 2.27, 2 Sr 2.36-2.53

DOS(E_F) in states/eV per cell: 3.23
Magnetization in μB/cell: 0.00


(4)
Density functional theory data (GGA-PBE) for an optimized crystal structure of SrTl2I2F2.

Cell lengths 4.8249, 4.8249, 18.9701 Å; angles 90.00, 90.00, 90.00 degrees
With the nearest neighbours (Å) after each atom.
Fractional positions:
Sr1 0.0000 0.0000 0.0000  4 F 2.41
Sr2 0.5000 0.5000 0.5000  4 F 2.41
Tl1 0.0000 0.0000 0.3697  4 F 3.45, 5 I 3.53-3.65
Tl2 0.0000 0.0000 0.6303  4 F 3.45, 5 I 3.53-3.65
Tl3 0.5000 0.5000 0.1303  4 F 3.45, 5 I 3.53-3.65
Tl4 0.5000 0.5000 0.8697  4 F 3.45, 5 I 3.53-3.65
I1 0.0000 0.0000 0.1775  1 Sr 3.37, 5 Tl 3.53-3.65
I2 0.0000 0.0000 0.8225  1 Sr 3.37, 5 Tl 3.53-3.65
I3 0.5000 0.5000 0.3225  1 Sr 3.37, 5 Tl 3.53-3.65
I4 0.5000 0.5000 0.6775  1 Sr 3.37, 5 Tl 3.53-3.65
F1 0.0000 0.5000 0.0000  2 Sr 2.41
F2 0.0000 0.5000 0.5000  2 Sr 2.41
F3 0.5000 0.0000 0.0000  2 Sr 2.41
F4 0.5000 0.0000 0.5000  2 Sr 2.41

DOS(E_F) in states/eV per cell: 0.00
Magnetization in μB/cell: 0.00


(5)
Density functional theory data (GGA-PBE) for an optimized crystal structure of SrUI2F6.

Cell lengths 6.7634, 6.7634, 6.7634 Å; angles 120.05, 119.99, 89.96 degrees
With the nearest neighbours (Å) after each atom.
Fractional positions:
Sr1 0.0000 0.0000 0.0000  6 F 2.67
U1 0.5000 0.5000 0.0000  6 F 2.11
I1 0.2499 0.7499 0.5000  12 F 3.39
I2 0.7501 0.2501 0.5000  12 F 3.39
F1 0.2794 0.2794 0.0000  1 U 2.11
F2 0.2793 0.2792 0.5585  1 U 2.11
F3 0.2793 0.7208 0.0001  1 U 2.11
F4 0.7207 0.2792 0.9999  1 U 2.11
F5 0.7206 0.7206 0.0000  1 U 2.11
F6 0.7207 0.7208 0.4415  1 U 2.11

DOS(E_F) in states/eV per cell: 12.14
Magnetization in μB/cell: 1.96


(6)
Density functional theory data (GGA-PBE) for an optimized crystal structure of TaI2F.

Cell lengths 6.9508, 6.9508, 6.9508 Å; angles 90.00, 90.00, 90.00 degrees
With the nearest neighbours (Å) after each atom.
Fractional positions:
Ta1 0.0000 0.0000 0.0000  8 I 3.01
Ta2 0.0000 0.5000 0.5000  8 I 3.01
Ta3 0.5000 0.0000 0.5000  8 I 3.01
Ta4 0.5000 0.5000 0.0000  8 I 3.01
I1 0.2500 0.2500 0.2500  4 Ta 3.01, 4 F 3.01
I2 0.2500 0.2500 0.7500  4 Ta 3.01, 4 F 3.01
I3 0.2500 0.7500 0.2500  4 Ta 3.01, 4 F 3.01
I4 0.2500 0.7500 0.7500  4 F 3.01, 4 Ta 3.01
I5 0.7500 0.2500 0.2500  4 Ta 3.01, 4 F 3.01
I6 0.7500 0.2500 0.7500  4 F 3.01, 4 Ta 3.01
I7 0.7500 0.7500 0.2500  4 F 3.01, 4 Ta 3.01
I8 0.7500 0.7500 0.7500  4 Ta 3.01, 4 F 3.01
F1 0.0000 0.0000 0.5000  8 I 3.01
F2 0.0000 0.5000 0.0000  8 I 3.01
F3 0.5000 0.0000 0.0000  8 I 3.01
F4 0.5000 0.5000 0.5000  8 I 3.01

Energy relative to the lowest polymorph listed for this composition in meV per atom: 0.0
DOS(E_F) in states/eV per cell: 0.00
Magnetization in μB/cell: 8.00


(7)
Density functional theory data (GGA-PBE) for an optimized crystal structure of Ta2I8F.

Cell lengths 8.9416, 8.9416, 7.8394 Å; angles 102.85, 102.85, 75.78 degrees
With the nearest neighbours (Å) after each atom.
Fractional positions:
Ta1 0.1503 0.1503 0.1446  1 F 2.10
Ta2 0.8497 0.8497 0.8554  1 F 2.10
I1 0.0972 0.6827 0.7178  1 Ta 2.65
I2 0.1837 0.1837 0.8287  1 Ta 2.65
I3 0.3173 0.9028 0.2822  1 Ta 2.65
I4 0.3418 0.3418 0.3271  1 Ta 2.68
I5 0.6582 0.6582 0.6729  1 Ta 2.68
I6 0.6827 0.0972 0.7178  1 Ta 2.65
I7 0.8163 0.8163 0.1713  1 Ta 2.65
I8 0.9028 0.3173 0.2822  1 Ta 2.65
F1 0.0000 0.0000 0.0000  2 Ta 2.10

DOS(E_F) in states/eV per cell: 5.81
Magnetization in μB/cell: 1.05


(8)
Density functional theory data (GGA-PBE) for an optimized crystal structure of TaI2F.

Cell lengths 7.1472, 7.1472, 9.0505 Å; angles 90.00, 90.00, 90.00 degrees
With the nearest neighbours (Å) after each atom.
Fractional positions:
Ta1 0.0000 0.0000 0.0000  4 I 2.71
Ta2 0.0000 0.5000 0.2500  4 I 2.71
Ta3 0.5000 0.0000 0.7500  4 I 2.71
Ta4 0.5000 0.5000 0.5000  4 I 2.71
I1 0.2368 0.2500 0.1250  2 Ta 2.71, 2 F 2.83
I2 0.2500 0.7368 0.3750  2 Ta 2.71, 2 F 2.83
I3 0.2500 0.7632 0.8750  2 Ta 2.71, 2 F 2.83
I4 0.2632 0.2500 0.6250  2 Ta 2.71, 2 F 2.83
I5 0.7368 0.7500 0.6250  2 Ta 2.71, 2 F 2.83
I6 0.7500 0.2368 0.8750  2 Ta 2.71, 2 F 2.83
I7 0.7500 0.2632 0.3750  2 Ta 2.71, 2 F 2.83
I8 0.7632 0.7500 0.1250  2 Ta 2.71, 2 F 2.83
F1 0.0000 0.0000 0.5000  4 I 2.83
F2 0.0000 0.5000 0.7500  4 I 2.83
F3 0.5000 0.0000 0.2500  4 I 2.83
F4 0.5000 0.5000 0.0000  4 I 2.83

Energy relative to the lowest polymorph listed for this composition in meV per atom: 118.5
DOS(E_F) in states/eV per cell: 1.11
Magnetization in μB/cell: 7.99


| no. | ΔE_f (raw) (meV per atom) |
| --- | --- |
| 1 | -1784 |
| 2 | -2780 |
| 3 | -2313 |
| 4 | -1927 |
| 5 | -2804 |
| 6 | -226 |
| 7 | -685 |
| 8 | -107 |